Density functional theory data (PBE) for an optimized crystal structure of Sm3Dy2ErS6.

Cell: 6.826 6.826 6.878 Å, 99.49 99.49 120.18°
Fractional positions:
Sm 0.000 0.000 0.000
Sm 0.332 0.668 0.000
Sm 0.668 0.332 0.000
Dy 0.167 0.833 0.500
Dy 0.833 0.167 0.500
Er 0.500 0.500 0.500
S 0.090 0.421 0.262
S 0.249 0.249 0.739
S 0.421 0.090 0.262
S 0.579 0.910 0.738
S 0.751 0.751 0.261
S 0.910 0.579 0.738

Output
**V**: 21.8 A^3/atom
**M_tot**: 0.00 μB/atom
**Density of states at the Fermi level**: 0.434 states/eV/atom
**Energy**: -6.40 eV per atom
**Formation energy from raw total energies**: -2.01 eV/atom